# 1
Below is a relaxed structure of Hg2BPd6, with properties calculated at the PBE level.

a b c (Å): 5.8686 5.8686 5.8686
angles (deg): 120.53 120.53 89.09
Last column: nearest neighbours and their distance in Å.
Fractional positions:
Hg1 0.2500 0.7500 0.5000  12 Pd 2.91-2.93
Hg2 0.7500 0.2500 0.5000  12 Pd 2.91-2.93
B1 0.0000 0.0000 0.0000  6 Pd 2.10-2.11
Pd1 0.2528 0.2528 0.0000  1 B 2.11
Pd2 0.2546 0.2546 0.5093  1 B 2.10
Pd3 0.2546 0.7454 0.0000  1 B 2.10
Pd4 0.7454 0.2546 0.0000  1 B 2.10
Pd5 0.7454 0.7454 0.4907  1 B 2.10
Pd6 0.7472 0.7472 0.0000  1 B 2.11

Properties
- DFT total energy: -4.53 eV/atom
- Energy of formation: -0.257 eV per atom

***

# 2
Below is a relaxed structure of Hg2BPd6, with properties calculated at the PBE level.

a b c (Å): 5.6749 4.5293 6.3658
angles (deg): 90.00 116.39 90.00
Last column: nearest neighbours and their distance in Å.
Fractional positions:
Hg1 0.2371 0.0000 0.4743  2 Hg 2.85, 10 Pd 2.93-3.07
Hg2 0.7629 0.0000 0.5257  2 Hg 2.85, 10 Pd 2.93-3.07
B1 0.5000 0.5000 0.0000  4 Pd 2.07
Pd1 0.1172 0.5000 0.7380  1 B 2.07
Pd2 0.2558 0.0000 0.0001  2 B 2.66, 6 Pd 2.71-2.90
Pd3 0.3790 0.5000 0.2623  1 B 2.07
Pd4 0.6210 0.5000 0.7377  1 B 2.07
Pd5 0.7442 0.0000 0.9999  2 B 2.66, 6 Pd 2.71-2.90
Pd6 0.8828 0.5000 0.2620  1 B 2.07

Properties
- DFT total energy: -4.33 eV/atom
- Energy of formation: -0.060 eV per atom

***

no.,E above lowest polymorph (meV per atom)
1,0
2,198